(1)
Below is a geometry-optimized Tb2PrSi structure, with properties calculated at the PBE level.

E_form (uncorrected) = -0.184 eV per atom
spin magnetization = 0.000 μB per atom
DOS at the Fermi energy = 5.298 states/eV/f.u.
energy = -60.6 eV per cell

Geometry as CIF:
```
data_Tb2PrSi
_chemical_formula_sum 'Tb6 Pr3 Si3'
_cell_length_a 3.8046
_cell_length_b 3.8046
_cell_length_c 29.2273
_cell_angle_alpha 90.00
_cell_angle_beta 90.00
_cell_angle_gamma 120.00
_symmetry_space_group_name_H-M 'R 3 m'
_symmetry_Int_Tables_number 160
_symmetry_space_group_name_Hall 'R 3 -2"'
loop_
_atom_site_label
_atom_site_fract_x
_atom_site_fract_y
_atom_site_fract_z
_atom_site_occupancy
Tb1 0.0000 0.0000 0.0000 1
Tb2 0.0000 0.0000 0.2091 1
Pr1 0.0000 0.0000 0.4393 1
Si1 0.0000 0.0000 0.6043 1
```

=====

(2)
Below is a geometry-optimized Ca2InI structure, with properties calculated at the PBE level.

E_form (uncorrected) = -0.712 eV per atom
spin magnetization = 0.000 μB per atom
DOS at the Fermi energy = 1.316 states/eV/f.u.
energy = -11.1 eV per cell

Geometry as CIF:
```
data_Ca2InI
_chemical_formula_sum 'Ca2 In1 I1'
_cell_length_a 3.820
_cell_length_b 3.820
_cell_length_c 8.758
_cell_angle_alpha 90.00
_cell_angle_beta 90.00
_cell_angle_gamma 90.00
_symmetry_space_group_name_H-M 'P 4/m m m'
_symmetry_Int_Tables_number 123
_symmetry_space_group_name_Hall '-P 4 2'
loop_
_atom_site_label
_atom_site_fract_x
_atom_site_fract_y
_atom_site_fract_z
_atom_site_occupancy
Ca1 0.000 0.000 0.226 1
In1 0.500 0.500 0.000 1
I1 0.500 0.500 0.500 1
```

=====

(3)
Below is a geometry-optimized TaVIn3 structure, with properties calculated at the PBE level.

energy of formation = 1.15 eV/atom
spin magnetization = 0.620 μB per atom
DOS at the Fermi energy = 4.583 states/eV/f.u.
energy = -23.5 eV per cell

Geometry as CIF:
```
data_TaVIn3
_chemical_formula_sum 'Ta1 V1 In3'
_cell_length_a 5.333
_cell_length_b 5.333
_cell_length_c 5.333
_cell_angle_alpha 90.00
_cell_angle_beta 90.00
_cell_angle_gamma 90.00
_symmetry_space_group_name_H-M 'P m -3 m'
_symmetry_Int_Tables_number 221
_symmetry_space_group_name_Hall '-P 4 2 3'
loop_
_atom_site_label
_atom_site_fract_x
_atom_site_fract_y
_atom_site_fract_z
_atom_site_occupancy
Ta1 0.000 0.000 0.000 1
V1 0.500 0.500 0.500 1
In1 0.000 0.000 0.500 1
```

=====

(4)
Below is a geometry-optimized BeZnInNiPd structure, with properties calculated at the PBE level.

energy of formation = -0.23 eV/atom
spin magnetization = 0.000 μB per atom
DOS at the Fermi energy = 2.116 states/eV/f.u.
energy = -19.9 eV per cell

Geometry as CIF:
```
data_BeZnInNiPd
_chemical_formula_sum 'Be1 Zn1 In1 Ni1 Pd1'
_cell_length_a 4.133
_cell_length_b 4.190
_cell_length_c 5.196
_cell_angle_alpha 68.06
_cell_angle_beta 66.87
_cell_angle_gamma 60.52
_symmetry_space_group_name_H-M 'P 1'
_symmetry_Int_Tables_number 1
loop_
_symmetry_equiv_pos_as_xyz
'x,y,z'
loop_
_atom_site_label
_atom_site_fract_x
_atom_site_fract_y
_atom_site_fract_z
_atom_site_occupancy
Be1 0.000 0.000 0.000 1
Zn1 0.771 0.778 0.679 1
In1 0.565 0.570 0.298 1
Ni1 0.151 0.161 0.536 1
Pd1 0.356 0.356 0.932 1
```

=====

(5)
Below is a geometry-optimized CoAs2PSe structure, with properties calculated at the PBE level.

E_form (uncorrected) = 1.036 eV per atom
spin magnetization = 0.397 μB per atom
DOS at the Fermi energy = 5.695 states/eV/f.u.
energy = -20.1 eV per cell

Geometry as CIF:
```
data_CoAs2PSe
_chemical_formula_sum 'Co1 As2 P1 Se1'
_cell_length_a 4.647
_cell_length_b 4.647
_cell_length_c 4.882
_cell_angle_alpha 90.00
_cell_angle_beta 90.00
_cell_angle_gamma 90.00
_symmetry_space_group_name_H-M 'P 4/m m m'
_symmetry_Int_Tables_number 123
_symmetry_space_group_name_Hall '-P 4 2'
loop_
_atom_site_label
_atom_site_fract_x
_atom_site_fract_y
_atom_site_fract_z
_atom_site_occupancy
Co1 0.000 0.000 0.000 1
As1 0.000 0.500 0.500 1
P1 0.500 0.500 0.500 1
Se1 0.500 0.500 0.000 1
```

=====

(6)
Below is a geometry-optimized GdErSnPt structure, with properties calculated at the PBE level.

energy of formation = -0.85 eV/atom
spin magnetization = 1.775 μB per atom
DOS at the Fermi energy = 2.199 states/eV/f.u.
energy = -128.4 eV per cell

Geometry as CIF:
```
data_GdErSnPt
_chemical_formula_sum 'Gd4 Er4 Sn4 Pt4'
_cell_length_a 7.277
_cell_length_b 7.277
_cell_length_c 7.277
_cell_angle_alpha 90.00
_cell_angle_beta 90.00
_cell_angle_gamma 90.00
_symmetry_space_group_name_H-M 'F -4 3 m'
_symmetry_Int_Tables_number 216
_symmetry_space_group_name_Hall 'F -4 2 3'
loop_
_atom_site_label
_atom_site_fract_x
_atom_site_fract_y
_atom_site_fract_z
_atom_site_occupancy
Gd1 0.000 0.000 0.000 1
Er1 0.000 0.000 0.500 1
Sn1 0.250 0.250 0.250 1
Pt1 0.250 0.250 0.750 1
```

=====

Q: Which value of spin magnetization does entry 1 give?
A: 0.000 μB per atom

=====

Q: The lowest DOS at the Fermi energy belongs to which entry?
A: Ca2InI

=====

Q: Among the records above, which one has the highest spin magnetization?
A: GdErSnPt

=====

Q: DOS at the Fermi energy of number 3 (TaVIn3)?
A: 4.583 states/eV/f.u.